(1)
A plane-wave DFT calculation with PBE was carried out for crystalline TaCdI6 at its relaxed geometry.

Lattice parameters (Å, degrees): 7.669 7.669 7.553 100.51 100.51 120.89
Sites, in units of the cell vectors:
Ta 0.000 0.000 0.000
Cd 0.500 0.500 0.500
I 0.088 0.382 0.236
I 0.220 0.220 0.781
I 0.382 0.088 0.236
I 0.618 0.912 0.764
I 0.780 0.780 0.219
I 0.912 0.618 0.764

Calculated values
- Uncorrected formation energy: -0.41 eV per atom
- Fermi-level density of states: 0.33 states/eV per atom
- Energy: -3.170 eV per atom

=====

(2)
A plane-wave DFT calculation with PBE was carried out for crystalline KSbSeN2 at its relaxed geometry.

Lattice parameters (Å, degrees): 4.766 4.766 6.260 90.00 90.00 90.00
Sites, in units of the cell vectors:
K 0.000 0.000 0.000
Sb 0.500 0.500 0.500
Se 0.000 0.000 0.500
N 0.000 0.500 0.000
N 0.500 0.000 0.000

Calculated values
- Uncorrected formation energy: 2.03 eV per atom
- Fermi-level density of states: 0.54 states/eV per atom
- Energy: -3.042 eV per atom
- Energy above the lowest structure with this stoichiometry: 1.222 eV/atom

=====

(3)
A plane-wave DFT calculation with PBE was carried out for crystalline Y4NiOs at its relaxed geometry.

Lattice parameters (Å, degrees): 6.251 6.606 7.614 90.00 107.59 90.00
Sites, in units of the cell vectors:
Y 0.001 0.000 0.256
Y 0.001 0.500 0.256
Y 0.432 0.250 0.104
Y 0.448 0.250 0.615
Y 0.552 0.750 0.385
Y 0.568 0.750 0.896
Y 0.999 0.000 0.744
Y 0.999 0.500 0.744
Ni 0.237 0.750 0.562
Ni 0.763 0.250 0.438
Os 0.220 0.750 0.053
Os 0.780 0.250 0.947

Calculated values
- Formation enthalpy at 0 K: -4.81 kcal/mol of atoms
- Fermi-level density of states: 0.97 states/eV per atom
- Energy: -7.353 eV per atom
- Energy above the lowest structure with this stoichiometry: 0.000 eV/atom